Nd3Sb5Pd6 | Alexandria | PBEsol | optimized geometry; DOS at the Fermi energy = 12.3 states/eV/cell; formation energy (no corrections) = -0.916 eV per atom; total magnetic moment = 0.00 μB/f.u.
1.0
-4.2953 -0.8061 0.6253
1.0226 -8.9038 -4.4535
2.7577 -5.5678 11.7647
Sb Pd Nd
10 12 6
Direct
0.5000 0.4774 0.3719
0.0000 0.8657 0.3358
0.0000 0.5226 0.1281
0.0000 0.8202 0.0000
0.5000 0.1343 0.8358
0.5000 0.1798 0.5000
0.5000 0.1343 0.1642
0.5000 0.4774 0.6281
0.0000 0.8657 0.6642
0.0000 0.5226 0.8719
0.0000 0.9886 0.8443
0.0000 0.6067 0.3203
0.5000 0.0114 0.6557
0.5000 0.5294 0.0000
0.0000 0.9886 0.1557
0.5000 0.9800 0.0000
0.5000 0.0114 0.3443
0.0000 0.4706 0.5000
0.0000 0.6067 0.6797
0.0000 0.0200 0.5000
0.5000 0.3933 0.1797
0.5000 0.3933 0.8203
0.5000 0.7565 0.5000
0.5000 0.7533 0.8229
0.0000 0.2435 0.0000
0.0000 0.2467 0.3229
0.5000 0.7533 0.1771
0.0000 0.2467 0.6771